{"formula": "KAcTlSb", "functional": "PBE-GGA", "state": "optimized geometry", "lattice_angstrom": [[5.8109, 0.0000, 0.0000], [2.9055, 5.0324, 0.0000], [2.9055, 1.6775, 4.7446]], "species": ["K", "Sb", "Ac", "Tl"], "frac_coords": [[0.7500, 0.7500, 0.7500], [0.5000, 0.5000, 0.5000], [0.2500, 0.2500, 0.2500], [0.0000, 0.0000, 0.0000]], "dft_energy_ev_per_atom": -3.283, "raw_formation_energy_mev_per_atom": -360, "dos_at_fermi_per_ev_cell": 3.56, "rho_g_cm3": 7.1}